# Na3Y2MoO6 (PBE+U, optimized geometry)
# **Space-group type**: C2/m
# **Calculated volume**: 163.4 Å³/f.u.
# **E_tot**: -82.64 eV/cell
data_Na3Y2MoO6
_symmetry_space_group_name_H-M 'P 1'
_symmetry_Int_Tables_number 1
_cell_length_a 5.8196
_cell_length_b 5.8196
_cell_length_c 5.8955
_cell_angle_alpha 99.37
_cell_angle_beta 99.37
_cell_angle_gamma 120.02
loop_
_symmetry_equiv_pos_as_xyz
'x,y,z'
loop_
_atom_site_label
_atom_site_type_symbol
_atom_site_fract_x
_atom_site_fract_y
_atom_site_fract_z
Na1 Na 0.0000 0.0000 0.0000
Na2 Na 0.3402 0.6598 0.0000
Na3 Na 0.6598 0.3402 0.0000
Y1 Y 0.1670 0.8330 0.5000
Y2 Y 0.8330 0.1670 0.5000
Mo1 Mo 0.5000 0.5000 0.5000
O1 O 0.1058 0.4296 0.2871
O2 O 0.2456 0.2456 0.7115
O3 O 0.4296 0.1058 0.2871
O4 O 0.5704 0.8942 0.7129
O5 O 0.7544 0.7544 0.2885
O6 O 0.8942 0.5704 0.7129